Computed, not measured: Er2TmBi after structural relaxation at the GGA-PBE level of DFT.

Output
Uncorrected energy: -18.24 eV/f.u.
Spin magnetization: 0.12 μB/f.u.
Symmetry: R3m
Offset from the most stable computed form: 192 meV/atom
ρ: 9.8 Mg/m³

Lattice parameters (Å, degrees): 3.616 3.616 31.965 90.00 90.00 120.00
Fractional positions:
Er (0.000, 0.000, 0.000)
Er (0.000, 0.000, 0.171)
Er (0.333, 0.667, 0.667)
Er (0.333, 0.667, 0.838)
Er (0.667, 0.333, 0.333)
Er (0.667, 0.333, 0.504)
Tm (0.000, 0.000, 0.418)
Tm (0.333, 0.667, 0.085)
Tm (0.667, 0.333, 0.752)
Bi (0.000, 0.000, 0.585)
Bi (0.333, 0.667, 0.252)
Bi (0.667, 0.333, 0.919)